a:
The following is a DFT calculation (PBE-GGA) of an optimized crystal structure of Al5Fe4.

abc: 7.3052 7.3052 5.0287
angles: 90.00 90.00 120.00
Last column: nearest neighbours and their distance in Å.
Fractional positions:
Al  0.0000  0.2948  0.2500  7 Fe 2.43-2.58
Al  0.0000  0.7052  0.7500  7 Fe 2.43-2.58
Al  0.2948  0.0000  0.2500  7 Fe 2.43-2.58
Al  0.2948  0.2948  0.7500  7 Fe 2.43-2.58
Al  0.3333  0.6667  0.0000  2 Al 2.51, 6 Fe 2.63
Al  0.3333  0.6667  0.5000  2 Al 2.51, 6 Fe 2.63
Al  0.6667  0.3333  0.0000  2 Al 2.51, 6 Fe 2.63
Al  0.6667  0.3333  0.5000  2 Al 2.51, 6 Fe 2.63
Al  0.7052  0.0000  0.7500  7 Fe 2.43-2.58
Al  0.7052  0.7052  0.2500  7 Fe 2.43-2.58
Fe  0.0000  0.0000  0.0000  6 Al 2.49, 2 Fe 2.51
Fe  0.0000  0.0000  0.5000  6 Al 2.49, 2 Fe 2.51
Fe  0.0000  0.3723  0.7500  9 Al 2.43-2.63
Fe  0.0000  0.6277  0.2500  9 Al 2.43-2.63
Fe  0.3723  0.0000  0.7500  9 Al 2.43-2.63
Fe  0.3723  0.3723  0.2500  9 Al 2.43-2.63
Fe  0.6277  0.0000  0.2500  9 Al 2.43-2.63
Fe  0.6277  0.6277  0.7500  9 Al 2.43-2.63

Values from the calculation:
space group = No. 193

=====

b:
The following is a DFT calculation (PBE-GGA) of an optimized crystal structure of Al5Fe4.

abc: 5.8123 5.8123 5.8123
angles: 96.35 96.35 141.16
Last column: nearest neighbours and their distance in Å.
Fractional positions:
Al  0.0000  0.0000  0.0000  4 Fe 2.58, 8 Al 2.71
Al  0.3270  0.3270  0.6540  6 Fe 2.54-2.66, 6 Al 2.57-2.71
Al  0.3270  0.6730  0.0000  6 Fe 2.54-2.66, 6 Al 2.57-2.71
Al  0.6730  0.3270  0.0000  6 Fe 2.54-2.66, 6 Al 2.57-2.71
Al  0.6730  0.6730  0.3460  6 Fe 2.54-2.66, 6 Al 2.57-2.71
Fe  0.0000  0.3324  0.3324  7 Al 2.54-2.66, 5 Fe 2.60-2.67
Fe  0.0000  0.6676  0.6676  7 Al 2.54-2.66, 5 Fe 2.60-2.67
Fe  0.3324  0.0000  0.3324  7 Al 2.54-2.66, 5 Fe 2.60-2.67
Fe  0.6676  0.0000  0.6676  7 Al 2.54-2.66, 5 Fe 2.60-2.67

Values from the calculation:
space group = No. 139

=====

It is b that is the least stable of them.